Entry from the Alexandria database: a crystal of BiBO3 relaxed with PBEsol (SCAN).

Unit cell a=4.156 b=4.156 c=4.156 alpha=90.00 beta=90.00 gamma=90.00
Element x y z (fractional)
1 O 0.000 0.000 0.500
2 O 0.000 0.500 0.000
3 O 0.500 0.000 0.000
4 B 0.500 0.500 0.500
5 Bi 0.000 0.000 0.000

## Properties
Uncorrected energy   -102.02 eV/cell

Entry from the Alexandria database: a crystal of Bi2B8O15 relaxed with PBEsol (SCAN).

Unit cell a=4.319 b=6.471 c=22.509 alpha=90.00 beta=90.00 gamma=104.79
Element x y z (fractional)
1 O 0.808 0.636 0.242
2 O 0.782 0.891 0.648
3 O 0.713 0.503 0.642
4 O 0.582 0.275 0.281
5 O 0.789 0.590 0.344
6 O 0.922 0.950 0.788
7 O 0.340 0.356 0.500
8 O 0.584 0.986 0.978
9 O 0.600 0.294 0.410
10 O 0.418 0.725 0.781
11 O 0.426 0.025 0.585
12 O 0.287 0.497 0.142
13 O 0.416 0.014 0.478
14 O 0.851 0.561 0.787
15 O 0.361 0.699 0.533
16 O 0.214 0.726 0.653
17 O 0.403 0.350 0.938
18 O 0.149 0.439 0.287
19 O 0.211 0.410 0.844
20 O 0.786 0.274 0.153
21 O 0.574 0.975 0.085
22 O 0.639 0.301 0.033
23 O 0.078 0.050 0.288
24 O 0.597 0.650 0.438
25 O 0.400 0.706 0.910
26 O 0.562 0.907 0.187
27 O 0.218 0.109 0.148
28 O 0.660 0.644 0.000
29 O 0.438 0.093 0.687
30 O 0.192 0.364 0.742
31 B 0.535 0.073 0.144
32 B 0.746 0.742 0.785
33 B 0.887 0.710 0.648
34 B 0.465 0.927 0.644
35 B 0.254 0.258 0.285
36 B 0.832 0.476 0.287
37 B 0.113 0.290 0.148
38 B 0.566 0.427 0.989
39 B 0.336 0.490 0.896
40 B 0.168 0.524 0.787
41 B 0.434 0.573 0.489
42 B 0.664 0.510 0.396
43 B 0.549 0.779 0.963
44 B 0.401 0.918 0.533
45 B 0.451 0.221 0.463
46 B 0.599 0.082 0.033
47 Bi 0.793 0.657 0.146
48 Bi 0.207 0.343 0.646
49 Bi 0.424 0.114 0.782
50 Bi 0.576 0.886 0.282

## Properties
Uncorrected energy   -737.08 eV/cell

Entry from the Alexandria database: a crystal of Bi4B3O12 relaxed with PBEsol (SCAN).

Unit cell a=8.485 b=8.485 c=8.485 alpha=109.47 beta=109.47 gamma=109.47
Element x y z (fractional)
1 Bi 0.500 0.851 0.500
2 Bi 0.351 0.000 0.000
3 Bi 0.649 0.649 0.149
4 Bi 0.500 0.351 0.500
5 Bi 0.149 0.149 0.649
6 Bi 0.000 0.500 0.351
7 Bi 0.851 0.000 0.000
8 Bi 0.000 0.500 0.851
9 B 0.875 0.750 0.625
10 B 0.250 0.375 0.125
11 B 0.625 0.250 0.875
12 B 0.750 0.125 0.375
13 B 0.375 0.625 0.750
14 B 0.125 0.875 0.250
15 O 0.185 0.345 0.927
16 O 0.573 0.758 0.918
17 O 0.758 0.418 0.073
18 O 0.315 0.242 0.160
19 O 0.840 0.582 0.655
20 O 0.340 0.655 0.582
21 O 0.582 0.155 0.340
22 O 0.660 0.315 0.742
23 O 0.655 0.082 0.840
24 O 0.845 0.685 0.427
25 O 0.685 0.927 0.345
26 O 0.918 0.258 0.573
27 O 0.742 0.815 0.660
28 O 0.242 0.660 0.815
29 O 0.258 0.073 0.418
30 O 0.427 0.185 0.845
31 O 0.815 0.160 0.242
32 O 0.082 0.340 0.155
33 O 0.160 0.742 0.315
34 O 0.418 0.573 0.258
35 O 0.073 0.918 0.758
36 O 0.927 0.845 0.185
37 O 0.345 0.427 0.685
38 O 0.155 0.840 0.082

## Properties
Uncorrected energy   -881.79 eV/cell

| no. | calculated density (g cm⁻³) | formation energy (no corrections) (meV per atom) |
| --- | --- | --- |
| 1 | 6.194 | 536 |
| 2 | 4.065 | -2339 |
| 3 | 7.488 | -1553 |